[1]
TbPr3O6 | PBE | optimized geometry

Cell: 7.0298 7.0298 7.0298 Å, 91.81 91.81 91.81°
Closest atoms and distances in Å follow each position.
Sites, in units of the cell vectors:
Tb1 0.0000 0.0000 0.0000  6 O 2.28
Tb2 0.5000 0.5000 0.5000  6 O 2.32
Pr1 0.0564 0.7519 0.5632  6 O 2.36-2.50
Pr2 0.2481 0.4368 0.9436  6 O 2.36-2.50
Pr3 0.4368 0.9436 0.2481  6 O 2.36-2.50
Pr4 0.5632 0.0564 0.7519  6 O 2.36-2.50
Pr5 0.7519 0.5632 0.0564  6 O 2.36-2.50
Pr6 0.9436 0.2481 0.4368  6 O 2.36-2.50
O1 0.0325 0.6900 0.9026  1 Tb 2.28, 3 Pr 2.39-2.45
O2 0.0974 0.9675 0.3100  1 Tb 2.28, 3 Pr 2.39-2.45
O3 0.1909 0.4339 0.5909  1 Tb 2.32, 3 Pr 2.36-2.50
O4 0.3100 0.0974 0.9675  1 Tb 2.28, 3 Pr 2.39-2.45
O5 0.4091 0.8091 0.5661  1 Tb 2.32, 3 Pr 2.36-2.50
O6 0.4339 0.5909 0.1909  1 Tb 2.32, 3 Pr 2.36-2.50
O7 0.5661 0.4091 0.8091  1 Tb 2.32, 3 Pr 2.36-2.50
O8 0.5909 0.1909 0.4339  1 Tb 2.32, 3 Pr 2.36-2.50
O9 0.6900 0.9026 0.0325  1 Tb 2.28, 3 Pr 2.39-2.45
O10 0.8091 0.5661 0.4091  1 Tb 2.32, 3 Pr 2.36-2.50
O11 0.9026 0.0325 0.6900  1 Tb 2.28, 3 Pr 2.39-2.45
O12 0.9675 0.3100 0.0974  1 Tb 2.28, 3 Pr 2.39-2.45

Output
- E: -0.6064 Ry/atom
- Energy relative to the elements, uncorrected: -3.379 eV/atom



[2]
TbPr3O | PBE | optimized geometry

Cell: 5.1418 5.1418 5.1418 Å, 90.00 90.00 90.00°
Closest atoms and distances in Å follow each position.
Sites, in units of the cell vectors:
Tb1 0.0000 0.0000 0.0000  12 Pr 3.64
Pr1 0.0000 0.5000 0.5000  2 O 2.57
Pr2 0.5000 0.0000 0.5000  2 O 2.57
Pr3 0.5000 0.5000 0.0000  2 O 2.57
O1 0.5000 0.5000 0.5000  6 Pr 2.57

Output
- E: -0.4317 Ry/atom
- Energy relative to the elements, uncorrected: -1.088 eV/atom



[3]
Tb2PrO | PBE | optimized geometry

Cell: 3.5164 3.5164 28.5119 Å, 90.00 90.00 120.00°
Closest atoms and distances in Å follow each position.
Sites, in units of the cell vectors:
Tb1 0.0000 0.0000 0.1205  3 O 2.42
Tb2 0.0000 0.0000 0.8795  3 O 2.42
Tb3 0.3333 0.6667 0.5462  3 O 2.42
Tb4 0.3333 0.6667 0.7871  3 O 2.42
Tb5 0.6667 0.3333 0.2129  3 O 2.42
Tb6 0.6667 0.3333 0.4538  3 O 2.42
Pr1 0.0000 0.0000 0.0000  2 Tb 3.43, 6 Pr 3.52
Pr2 0.3333 0.6667 0.6667  2 Tb 3.43, 6 Pr 3.52
Pr3 0.6667 0.3333 0.3333  2 Tb 3.43, 6 Pr 3.52
O1 0.0000 0.0000 0.5000  6 Tb 2.42
O2 0.3333 0.6667 0.1667  6 Tb 2.42
O3 0.6667 0.3333 0.8333  6 Tb 2.42

Output
- Energy above the lowest structure with this stoichiometry: 0.000 eV/atom
- E: -0.4383 Ry/atom
- Energy relative to the elements, uncorrected: -1.213 eV/atom



[4]
TbPrO2 | PBE | optimized geometry

Cell: 3.4828 3.4828 17.8998 Å, 90.00 90.00 120.00°
Closest atoms and distances in Å follow each position.
Sites, in units of the cell vectors:
Tb1 0.0000 0.0000 0.0000  6 O 2.34
Tb2 0.3333 0.6667 0.6667  6 O 2.34
Tb3 0.6667 0.3333 0.3333  6 O 2.34
Pr1 0.0000 0.0000 0.5000  6 O 2.68
Pr2 0.3333 0.6667 0.1667  6 O 2.68
Pr3 0.6667 0.3333 0.8333  6 O 2.68
O1 0.0000 0.0000 0.2660  3 Tb 2.34
O2 0.0000 0.0000 0.7340  3 Tb 2.34
O3 0.3333 0.6667 0.4006  3 Tb 2.34
O4 0.3333 0.6667 0.9327  3 Tb 2.34
O5 0.6667 0.3333 0.0673  3 Tb 2.34
O6 0.6667 0.3333 0.5994  3 Tb 2.34

Output
- Energy above the lowest structure with this stoichiometry: 0.000 eV/atom
- E: -0.5624 Ry/atom
- Energy relative to the elements, uncorrected: -2.820 eV/atom